MgCr2Rh | GGA-PBE | optimized geometry

Properties
The total DFT energy (no corrections) comes out at -6.790 eV/atom. Its crystal system is monoclinic. For the density of states at the Fermi level, the calculation gives 9.4 states/eV per cell. For the formation enthalpy at 0 K, the calculation gives 0.2586 eV per atom. The mass density is 7.1 g/cm3.

```
MgCr2Rh
1.0
4.9094 0.0000 0.0000
0.0000 8.7049 0.0000
-0.7310 0.0000 2.5294
Mg Cr Rh
2 4 2
direct
0.0000 0.0000 0.0000
0.5000 0.5000 0.0000
0.2500 0.2500 0.5000
0.2500 0.7500 0.5000
0.7500 0.2500 0.5000
0.7500 0.7500 0.5000
0.0000 0.5000 0.0000
0.5000 0.0000 0.0000
```

---

MgCrSnRh | GGA-PBE | optimized geometry

Properties
The total DFT energy (no corrections) comes out at -5.864 eV/atom. Its crystal system is cubic. For the density of states at the Fermi level, the calculation gives 7.9 states/eV per cell. For the formation enthalpy at 0 K, the calculation gives -0.2210 eV per atom. The mass density is 7.5 g/cm3.

```
MgCrSnRh
1.0
6.4271 0.0000 0.0000
0.0000 6.4271 0.0000
0.0000 0.0000 6.4271
Mg Cr Sn Rh
4 4 4 4
direct
0.0000 0.0000 0.0000
0.0000 0.5000 0.5000
0.5000 0.0000 0.5000
0.5000 0.5000 0.0000
0.2500 0.2500 0.2500
0.2500 0.7500 0.7500
0.7500 0.2500 0.7500
0.7500 0.7500 0.2500
0.0000 0.0000 0.5000
0.0000 0.5000 0.0000
0.5000 0.0000 0.0000
0.5000 0.5000 0.5000
0.2500 0.2500 0.7500
0.2500 0.7500 0.2500
0.7500 0.2500 0.2500
0.7500 0.7500 0.7500
```

---

MgCrRh2W | GGA-PBE | optimized geometry

Properties
The total DFT energy (no corrections) comes out at -6.221 eV/atom. Its crystal system is tetragonal. For the density of states at the Fermi level, the calculation gives 4.5 states/eV per cell. For the formation enthalpy at 0 K, the calculation gives 1.5537 eV per atom. The mass density is 9.6 g/cm3.

```
MgCrRh2W
1.0
4.2888 0.0000 0.0000
0.0000 4.2888 0.0000
0.0000 0.0000 4.3742
Mg Cr Rh W
1 1 2 1
direct
0.0000 0.0000 0.0000
0.0000 0.0000 0.5000
0.0000 0.5000 0.0000
0.5000 0.0000 0.0000
0.5000 0.5000 0.5000
```

---

MgCr2RhW | GGA-PBE | optimized geometry

Properties
The total DFT energy (no corrections) comes out at -6.925 eV/atom. Its crystal system is tetragonal. For the density of states at the Fermi level, the calculation gives 6.6 states/eV per cell. For the formation enthalpy at 0 K, the calculation gives 1.3043 eV per atom. The mass density is 6.3 g/cm3.

```
MgCr2RhW
1.0
4.8263 0.0000 0.0000
0.0000 4.8263 0.0000
0.0000 0.0000 4.6916
Mg Cr Rh W
1 2 1 1
direct
0.0000 0.0000 0.0000
0.0000 0.5000 0.5000
0.5000 0.0000 0.5000
0.5000 0.5000 0.5000
0.5000 0.5000 0.0000
```

---

MgZn2CrRh | GGA-PBE | optimized geometry

Properties
The total DFT energy (no corrections) comes out at -3.596 eV/atom. Its crystal system is tetragonal. For the density of states at the Fermi level, the calculation gives 3.9 states/eV per cell. For the formation enthalpy at 0 K, the calculation gives 0.6271 eV per atom. The mass density is 5.2 g/cm3.

```
MgZn2CrRh
1.0
4.7134 0.0000 0.0000
0.0000 4.7134 0.0000
0.0000 0.0000 4.4199
Mg Zn Cr Rh
1 2 1 1
direct
0.0000 0.0000 0.0000
0.0000 0.5000 0.5000
0.5000 0.0000 0.5000
0.5000 0.5000 0.5000
0.5000 0.5000 0.0000
```

---

MgCrRu2 | GGA-PBE | optimized geometry

Properties
The total DFT energy (no corrections) comes out at -7.325 eV/atom. Its crystal system is trigonal. For the density of states at the Fermi level, the calculation gives 10.5 states/eV per cell. For the formation enthalpy at 0 K, the calculation gives 0.1173 eV per atom. The mass density is 8.1 g/cm3.

```
MgCrRu2
1.0
2.7576 0.0000 0.0000
-1.3788 2.3881 0.0000
0.0000 0.0000 25.9467
Mg Cr Ru
3 3 6
direct
0.0000 0.0000 0.0000
0.3333 0.6667 0.6667
0.6667 0.3333 0.3333
0.0000 0.0000 0.5000
0.3333 0.6667 0.1667
0.6667 0.3333 0.8333
0.0000 0.0000 0.2432
0.0000 0.0000 0.7568
0.3333 0.6667 0.4234
0.3333 0.6667 0.9099
0.6667 0.3333 0.0901
0.6667 0.3333 0.5766
```

---

MgCrRu | GGA-PBE | optimized geometry

Properties
The total DFT energy (no corrections) comes out at -6.504 eV/atom. Its crystal system is orthorhombic. For the density of states at the Fermi level, the calculation gives 17.7 states/eV per cell. For the formation enthalpy at 0 K, the calculation gives 0.3269 eV per atom. The mass density is 6.7 g/cm3.

```
MgCrRu
1.0
2.9587 0.0000 0.0000
0.0000 4.4843 0.0000
0.0000 0.0000 13.2218
Mg Cr Ru
4 4 4
direct
0.0000 0.0000 0.0000
0.0000 0.5000 0.5000
0.5000 0.0000 0.5000
0.5000 0.5000 0.0000
0.0000 0.0000 0.6766
0.0000 0.5000 0.1766
0.5000 0.0000 0.1766
0.5000 0.5000 0.6766
0.0000 0.0000 0.3237
0.0000 0.5000 0.8237
0.5000 0.0000 0.8237
0.5000 0.5000 0.3237
```

---

MgCr2Ru | GGA-PBE | optimized geometry

Properties
The total DFT energy (no corrections) comes out at -7.105 eV/atom. Its crystal system is trigonal. For the density of states at the Fermi level, the calculation gives 14.3 states/eV per cell. For the formation enthalpy at 0 K, the calculation gives 0.4245 eV per atom. The mass density is 6.8 g/cm3.

```
MgCr2Ru
1.0
2.6886 0.0000 0.0000
-1.3443 2.3284 0.0000
0.0000 0.0000 26.8587
Mg Cr Ru
3 6 3
direct
0.0000 0.0000 0.0000
0.3333 0.6667 0.6667
0.6667 0.3333 0.3333
0.0000 0.0000 0.2443
0.0000 0.0000 0.7557
0.3333 0.6667 0.4224
0.3333 0.6667 0.9110
0.6667 0.3333 0.0890
0.6667 0.3333 0.5776
0.0000 0.0000 0.5000
0.3333 0.6667 0.1667
0.6667 0.3333 0.8333
```